Material: Hg3BiC
Method: DFT, GGA-PBE
State: relaxed Values from VASP.

Geometry as Quantum ESPRESSO input:
```
&SYSTEM
  ibrav = 0, nat = 5, ntyp = 3
/
ATOMIC_SPECIES
C 12.01 C.upf
Bi 208.98 Bi.upf
Hg 200.59 Hg.upf
ATOMIC_POSITIONS angstrom
C 0.000 0.000 0.000
Bi 2.428 2.428 2.428
Hg 0.000 2.428 0.000
Hg 0.000 0.000 2.428
Hg 2.428 0.000 0.000
CELL_PARAMETERS angstrom
4.856 0.000 0.000
0.000 4.856 0.000
0.000 0.000 4.856
```

E_tot (Ry per atom): -0.12941
Magnetic moment (μB/f.u.): 0.0
Distance to the lowest polymorph of the same formula (eV per atom): 0.0000
SG: Pm-3m (221)
DFT formation energy (meV/atom): 1041
Calculated volume (Å³/atom): 22.9